This record from the Alexandria database describes an optimized crystal structure of TlFe2B2O6. The functional is PBE with a Hubbard U.

Summary:
The value obtained for the total DFT energy (no corrections) is -0.2532 Ha/atom. Its space group is P-1, No. 2.

Cell lengths 5.2821, 5.3784, 6.6225 Å; angles 113.22, 109.65, 91.27 degrees
Fractional positions:
Tl 0.0000 0.0000 0.0000
Fe 0.3382 0.7319 0.4599
Fe 0.6618 0.2681 0.5401
B 0.2547 0.2836 0.6798
B 0.7453 0.7164 0.3202
O 0.0338 0.2918 0.7416
O 0.3149 0.4318 0.5654
O 0.4465 0.1110 0.7166
O 0.5535 0.8890 0.2834
O 0.6851 0.5682 0.4346
O 0.9662 0.7082 0.2584